# 1
Entry from Alexandria via LeMat-Bulk: a relaxed structure of NaLiWCl6 (PBE-GGA).

Lattice parameters (Å, degrees): 6.4489 6.4489 12.3334 90.00 90.00 120.00
Last column: nearest neighbours and their distance in Å.
Positions (direct):
Cl 0.3495 0.9788 0.6384  1 W 2.40, 1 Li 2.58
Cl 0.6505 0.6293 0.1384  1 W 2.40, 1 Li 2.58
Cl 0.9788 0.3495 0.1384  1 W 2.40, 1 Li 2.58
Cl 0.6293 0.6505 0.6384  1 W 2.40, 1 Li 2.58
Cl 0.3707 0.0212 0.1384  1 W 2.40, 1 Li 2.58
Cl 0.3707 0.3495 0.3616  1 W 2.40, 1 Li 2.58
Cl 0.9788 0.6293 0.3616  1 W 2.40, 1 Li 2.58
Cl 0.3495 0.3707 0.8616  1 W 2.40, 1 Li 2.58
Cl 0.6505 0.0212 0.3616  1 W 2.40, 1 Li 2.58
Cl 0.0212 0.3707 0.6384  1 W 2.40, 1 Li 2.58
Cl 0.0212 0.6505 0.8616  1 W 2.40, 1 Li 2.58
Cl 0.6293 0.9788 0.8616  1 W 2.40, 1 Li 2.58
Li 0.3333 0.6667 0.2500  6 Cl 2.58
Li 0.6667 0.3333 0.7500  6 Cl 2.58
Na 0.0000 0.0000 0.0000  6 Cl 2.88
Na 0.0000 0.0000 0.5000  6 Cl 2.88
W 0.6667 0.3333 0.2500  6 Cl 2.40
W 0.3333 0.6667 0.7500  6 Cl 2.40

Computed properties:
As for the electronic total energy: -4.257 eV/atom. The calculation puts the formation energy from raw total energies at -1.228 eV per atom. The density of states at the Fermi level is 17.02 states/eV/cell.

***

# 2
Entry from Alexandria via LeMat-Bulk: a relaxed structure of NiPd2Rh (PBE-GGA).

Lattice parameters (Å, degrees): 2.7292 4.7122 4.7065 100.45 90.00 106.83
Last column: nearest neighbours and their distance in Å.
Positions (direct):
Pd 0.2482 0.4965 0.7449  4 Ni 2.68-2.76, 3 Rh 2.70-2.75, 5 Pd 2.71-2.78
Pd 0.0061 0.0123 0.0077  4 Rh 2.68-2.77, 3 Ni 2.68-2.75, 5 Pd 2.71-2.78
Ni 0.7530 0.5060 0.2557  3 Rh 2.62-2.78, 7 Pd 2.68-2.76, 2 Ni 2.73
Rh 0.4926 0.9853 0.4916  3 Ni 2.62-2.78, 7 Pd 2.68-2.77, 2 Rh 2.73

Computed properties:
As for the electronic total energy: -5.807 eV/atom. For the formation energy, the calculation gives 0.289 eV per formula unit. The value obtained for the distance to the lowest polymorph of the same formula is 0 meV per atom. The density of states at the Fermi level is 6.34 states/eV/cell.

***

# 3
Entry from Alexandria via LeMat-Bulk: a relaxed structure of SrIrPbSe2 (PBE-GGA).

Lattice parameters (Å, degrees): 5.5350 5.0715 5.5350 90.00 90.00 90.00
Last column: nearest neighbours and their distance in Å.
Positions (direct):
Se 0.5000 0.0000 0.0000  2 Pb 2.77
Se 0.0000 0.0000 0.5000  2 Pb 2.77
Ir 0.0000 0.5000 0.0000  2 Pb 2.54
Pb 0.0000 0.0000 0.0000  2 Ir 2.54, 4 Se 2.77
Sr 0.5000 0.5000 0.5000  8 Se 3.75, 4 Ir 3.91

Computed properties:
As for the electronic total energy: -4.062 eV/atom. The calculation puts the formation energy from raw total energies at 0.182 eV per atom. The density of states at the Fermi level is 1.50 states/eV/cell.

***

# 4
Entry from Alexandria via LeMat-Bulk: a relaxed structure of Pr9AlTl2 (PBE-GGA).

Lattice parameters (Å, degrees): 4.9986 4.9986 15.0094 90.00 90.00 90.00
Last column: nearest neighbours and their distance in Å.
Positions (direct):
Pr 0.5000 0.0000 0.5000  8 Pr 3.53-3.57, 4 Tl 3.55
Pr 0.0000 0.5000 0.8392  2 Al 3.47, 8 Pr 3.47-3.56, 2 Tl 3.58
Pr 0.5000 0.5000 0.0000  8 Pr 3.47, 4 Al 3.53
Pr 0.0000 0.5000 0.1608  2 Al 3.47, 8 Pr 3.47-3.56, 2 Tl 3.58
Pr 0.5000 0.0000 0.1608  8 Pr 3.47-3.56, 2 Al 3.47, 2 Tl 3.58
Pr 0.0000 0.5000 0.5000  8 Pr 3.53-3.57, 4 Tl 3.55
Pr 0.5000 0.5000 0.3300  4 Tl 3.53, 8 Pr 3.56-3.57
Pr 0.5000 0.5000 0.6700  4 Tl 3.53, 8 Pr 3.56-3.57
Pr 0.5000 0.0000 0.8392  8 Pr 3.47-3.56, 2 Al 3.47, 2 Tl 3.58
Tl 0.0000 0.0000 0.3320  12 Pr 3.53-3.58
Tl 0.0000 0.0000 0.6680  12 Pr 3.53-3.58
Al 0.0000 0.0000 0.0000  12 Pr 3.47-3.53

Computed properties:
As for the electronic total energy: -4.486 eV/atom. For the formation energy, the calculation gives -2.337 eV per formula unit. The density of states at the Fermi level is 19.25 states/eV/cell.

***

# 5
Entry from Alexandria via LeMat-Bulk: a relaxed structure of Pr3OsO7 (PBE-GGA).

Lattice parameters (Å, degrees): 6.7082 6.7082 7.6575 90.00 90.00 111.28
Last column: nearest neighbours and their distance in Å.
Positions (direct):
O 0.5599 0.8096 0.0382  1 Os 1.99
O 0.1904 0.4401 0.9618  1 Os 1.99
O 0.4401 0.1904 0.9618  1 Os 1.99
O 0.8096 0.5599 0.4618  1 Os 1.99
O 0.8096 0.5599 0.0382  1 Os 1.99
O 0.8425 0.1059 0.7500  4 Pr 2.33-2.41
O 0.5599 0.8096 0.4618  1 Os 1.99
O 0.1575 0.8941 0.2500  4 Pr 2.33-2.41
O 0.1904 0.4401 0.5382  1 Os 1.99
O 0.1059 0.8425 0.7500  4 Pr 2.33-2.41
O 0.8941 0.1575 0.2500  4 Pr 2.33-2.41
O 0.4191 0.4191 0.2500  2 Os 2.01
O 0.4401 0.1904 0.5382  1 Os 1.99
O 0.5809 0.5809 0.7500  2 Os 2.01
Pr 0.5267 0.0811 0.2500  6 O 2.33-2.51
Pr 0.0811 0.5267 0.2500  6 O 2.33-2.51
Pr 0.9189 0.4733 0.7500  6 O 2.33-2.51
Pr 0.4733 0.9189 0.7500  6 O 2.33-2.51
Pr 0.0000 0.0000 0.5000  4 O 2.41
Pr 0.0000 0.0000 0.0000  4 O 2.41
Os 0.5000 0.5000 0.5000  6 O 1.99-2.01
Os 0.5000 0.5000 0.0000  6 O 1.99-2.01

Computed properties:
As for the electronic total energy: -8.102 eV/atom. The calculation puts the formation energy from raw total energies at -2.622 eV per atom. The density of states at the Fermi level is 0.97 states/eV/cell.

***

# 6
Entry from Alexandria via LeMat-Bulk: a relaxed structure of Pr2NdVN4 (PBE-GGA).

Lattice parameters (Å, degrees): 3.4837 6.2536 12.3881 90.00 90.00 106.17
Last column: nearest neighbours and their distance in Å.
Positions (direct):
V 0.1773 0.3546 0.2500  2 N 1.79
V 0.8227 0.6454 0.7500  2 N 1.79
Nd 0.9143 0.8287 0.2500  6 N 2.66-2.83
Nd 0.0857 0.1713 0.7500  6 N 2.66-2.83
Pr 0.3680 0.7360 0.5426  6 N 2.41-2.67
Pr 0.3680 0.7360 0.9574  6 N 2.41-2.67
Pr 0.6320 0.2640 0.0426  6 N 2.41-2.67
Pr 0.6320 0.2640 0.4574  6 N 2.41-2.67
N 0.7300 0.4601 0.6367  1 V 1.79
N 0.0000 0.0000 0.5000  4 Pr 2.41
N 0.2700 0.5399 0.3633  1 V 1.79
N 0.2700 0.5399 0.1367  1 V 1.79
N 0.4182 0.8363 0.7500  2 V 2.09
N 0.0000 0.0000 0.0000  4 Pr 2.41
N 0.7300 0.4601 0.8633  1 V 1.79
N 0.5818 0.1637 0.2500  2 V 2.09

Computed properties:
As for the electronic total energy: -8.208 eV/atom. The calculation puts the formation energy from raw total energies at -1.114 eV per atom. The density of states at the Fermi level is 6.76 states/eV/cell.

***

# 7
Entry from Alexandria via LeMat-Bulk: a relaxed structure of SmRuO4 (PBE-GGA).

Lattice parameters (Å, degrees): 5.4150 7.6625 7.4993 100.42 90.00 90.00
Last column: nearest neighbours and their distance in Å.
Positions (direct):
O 0.5002 0.6797 0.1278  1 Ru 1.94
O 0.6410 0.8368 0.4498  2 Ru 1.96-1.98
O 0.4815 0.3837 0.3264  1 Ru 2.05, 1 Sm 2.29
O 0.5809 0.0531 0.1942  2 Ru 1.93-1.96
O 0.4191 0.9469 0.8058  2 Ru 1.93-1.96
O 0.4998 0.3203 0.8722  1 Ru 1.94
O 0.9191 0.0531 0.6942  2 Ru 1.93-1.96
O 0.9998 0.6797 0.6278  1 Ru 1.94
O 0.9815 0.6163 0.1736  1 Ru 2.05, 1 Sm 2.29
O 0.1410 0.1632 0.0502  2 Ru 1.96-1.98
O 0.0185 0.3837 0.8264  1 Ru 2.05, 1 Sm 2.29
O 0.8590 0.8368 0.9498  2 Ru 1.96-1.98
O 0.5185 0.6163 0.6736  1 Ru 2.05, 1 Sm 2.29
O 0.3590 0.1632 0.5502  2 Ru 1.96-1.98
O 0.0002 0.3203 0.3722  1 Ru 1.94
O 0.0809 0.9469 0.3058  2 Ru 1.93-1.96
Ru 0.7301 0.8423 0.7042  6 O 1.93-2.05
Ru 0.2699 0.1577 0.2958  6 O 1.93-2.05
Ru 0.7699 0.8423 0.2042  6 O 1.93-2.05
Ru 0.2301 0.1577 0.7958  6 O 1.93-2.05
Sm 0.7828 0.3495 0.1016  6 O 2.28-2.48
Sm 0.2172 0.6505 0.8984  6 O 2.28-2.48
Sm 0.7172 0.3495 0.6016  6 O 2.28-2.48
Sm 0.2828 0.6505 0.3984  6 O 2.28-2.48

Computed properties:
As for the electronic total energy: -7.604 eV/atom. The calculation puts the formation energy from raw total energies at -1.966 eV per atom. The value obtained for the distance to the lowest polymorph of the same formula is 0 meV per atom. The density of states at the Fermi level is 13.21 states/eV/cell.

***

# 8
Entry from Alexandria via LeMat-Bulk: a relaxed structure of Sr3SnPd2 (PBE-GGA).

Lattice parameters (Å, degrees): 4.8123 4.5508 8.6898 105.21 105.98 90.01
Last column: nearest neighbours and their distance in Å.
Positions (direct):
Sn 0.0000 0.0000 0.0000  4 Pd 3.14, 4 Sr 3.31
Sr 0.8246 0.3243 0.6488  5 Pd 3.19-3.41
Sr 0.1754 0.6757 0.3512  5 Pd 3.19-3.41
Sr 0.5000 0.5000 0.0000  4 Pd 3.04, 4 Sn 3.31
Pd 0.6250 0.1261 0.2514  5 Sr 3.04-3.41, 2 Sn 3.14
Pd 0.3750 0.8739 0.7486  5 Sr 3.04-3.41, 2 Sn 3.14

Computed properties:
As for the electronic total energy: -3.778 eV/atom. For the formation energy, the calculation gives -3.236 eV per formula unit. The density of states at the Fermi level is 4.35 states/eV/cell.